! PBE SmEuMgTl, optimized geometry; values from VASP
! total moment = 7.40 μB per formula unit
! DFT total energy = -4.99 eV per atom
! space-group type = No. 216
! calculated density = 7.39 g/cm³
! energy relative to the elements = -0.25 eV/atom
&SYSTEM
  ibrav = 0, nat = 4, ntyp = 4
/
ATOMIC_SPECIES
Eu 151.96 Eu.upf
Tl 204.38 Tl.upf
Mg 24.30 Mg.upf
Sm 150.36 Sm.upf
CELL_PARAMETERS angstrom
-0.051 -5.338 1.424
2.119 -1.585 4.850
-3.343 -1.751 4.036
ATOMIC_POSITIONS crystal
Eu 0.250 0.250 0.250
Tl 0.000 0.000 0.000
Mg 0.500 0.500 0.500
Sm 0.750 0.750 0.750

***

! PBE EuMgSn, optimized geometry; values from VASP
! total moment = 7.00 μB per formula unit
! DFT total energy = -5.73 eV per atom
! space-group type = No. 216
! calculated density = 5.09 g/cm³
! energy relative to the elements = -0.44 eV/atom
&SYSTEM
  ibrav = 0, nat = 3, ntyp = 3
/
ATOMIC_SPECIES
Eu 151.96 Eu.upf
Mg 24.30 Mg.upf
Sn 118.71 Sn.upf
CELL_PARAMETERS angstrom
-3.683 -0.418 3.568
-3.582 -3.669 -0.419
0.009 -3.987 3.252
ATOMIC_POSITIONS crystal
Eu 0.000 0.000 0.000
Mg 0.500 0.500 0.500
Sn 0.250 0.250 0.250

***

! PBE EuMgSn, optimized geometry; values from VASP
! total moment = 7.13 μB per formula unit
! DFT total energy = -5.61 eV per atom
! space-group type = No. 107
! calculated density = 5.79 g/cm³
! energy relative to the elements = -0.32 eV/atom
&SYSTEM
  ibrav = 0, nat = 3, ntyp = 3
/
ATOMIC_SPECIES
Eu 151.96 Eu.upf
Mg 24.30 Mg.upf
Sn 118.71 Sn.upf
CELL_PARAMETERS angstrom
3.631 0.000 0.000
0.000 3.631 0.000
-1.816 -1.816 6.415
ATOMIC_POSITIONS crystal
Eu 0.612 0.612 0.224
Mg 0.302 0.302 0.603
Sn 0.936 0.936 0.873

***

! PBE EuMgSn, optimized geometry; values from VASP
! total moment = 7.01 μB per formula unit
! DFT total energy = -5.87 eV per atom
! space-group type = No. 62
! calculated density = 5.79 g/cm³
! energy relative to the elements = -0.58 eV/atom
&SYSTEM
  ibrav = 0, nat = 12, ntyp = 3
/
ATOMIC_SPECIES
Eu 151.96 Eu.upf
Mg 24.30 Mg.upf
Sn 118.71 Sn.upf
CELL_PARAMETERS angstrom
4.860 0.000 0.000
0.000 7.935 0.000
0.000 0.000 8.769
ATOMIC_POSITIONS crystal
Eu 0.750 0.489 0.304
Eu 0.750 0.989 0.196
Eu 0.250 0.511 0.696
Eu 0.250 0.011 0.804
Mg 0.750 0.842 0.571
Mg 0.250 0.158 0.429
Mg 0.250 0.658 0.071
Mg 0.750 0.342 0.929
Sn 0.750 0.727 0.896
Sn 0.250 0.273 0.104
Sn 0.750 0.227 0.604
Sn 0.250 0.773 0.396

***

! PBE EuMgSn, optimized geometry; values from VASP
! total moment = 7.55 μB per formula unit
! DFT total energy = -5.77 eV per atom
! space-group type = No. 187
! calculated density = 5.87 g/cm³
! energy relative to the elements = -0.48 eV/atom
&SYSTEM
  ibrav = 0, nat = 3, ntyp = 3
/
ATOMIC_SPECIES
Eu 151.96 Eu.upf
Mg 24.30 Mg.upf
Sn 118.71 Sn.upf
CELL_PARAMETERS angstrom
-1.148 0.123 -3.611
3.100 -3.816 -1.116
-4.728 -0.942 1.472
ATOMIC_POSITIONS crystal
Eu 0.667 0.333 0.667
Mg 0.166 0.667 0.333
Sn 0.167 0.000 0.000

***

! PBE EuMgSn2, optimized geometry; values from VASP
! total moment = 6.94 μB per formula unit
! DFT total energy = -5.45 eV per atom
! space-group type = No. 123
! calculated density = 6.56 g/cm³
! energy relative to the elements = -0.48 eV/atom
&SYSTEM
  ibrav = 0, nat = 4, ntyp = 3
/
ATOMIC_SPECIES
Eu 151.96 Eu.upf
Mg 24.30 Mg.upf
Sn 118.71 Sn.upf
CELL_PARAMETERS angstrom
4.555 0.000 0.000
0.000 4.795 0.000
0.000 0.000 4.795
ATOMIC_POSITIONS crystal
Eu 0.500 0.000 0.000
Mg 0.500 0.500 0.500
Sn 0.000 0.000 0.500
Sn 0.000 0.500 0.000

***

! PBE EuMg4Sn, optimized geometry; values from VASP
! total moment = 7.13 μB per formula unit
! DFT total energy = -3.53 eV per atom
! space-group type = No. 216
! calculated density = 3.85 g/cm³
! energy relative to the elements = -0.09 eV/atom
&SYSTEM
  ibrav = 0, nat = 6, ntyp = 3
/
ATOMIC_SPECIES
Eu 151.96 Eu.upf
Mg 24.30 Mg.upf
Sn 118.71 Sn.upf
CELL_PARAMETERS angstrom
6.076 0.000 0.000
3.038 5.262 0.000
3.038 1.754 4.961
ATOMIC_POSITIONS crystal
Eu 0.250 0.250 0.250
Mg 0.626 0.626 0.123
Mg 0.626 0.123 0.626
Mg 0.626 0.626 0.626
Mg 0.123 0.626 0.626
Sn 0.000 0.000 0.000

***

! PBE EuMgSn4, optimized geometry; values from VASP
! total moment = 6.79 μB per formula unit
! DFT total energy = -4.86 eV per atom
! space-group type = No. 216
! calculated density = 6.31 g/cm³
! energy relative to the elements = -0.21 eV/atom
&SYSTEM
  ibrav = 0, nat = 6, ntyp = 3
/
ATOMIC_SPECIES
Eu 151.96 Eu.upf
Mg 24.30 Mg.upf
Sn 118.71 Sn.upf
CELL_PARAMETERS angstrom
6.235 0.000 0.000
3.118 5.400 0.000
3.118 1.800 5.091
ATOMIC_POSITIONS crystal
Eu 0.000 0.000 0.000
Mg 0.250 0.250 0.250
Sn 0.625 0.625 0.126
Sn 0.625 0.126 0.625
Sn 0.625 0.625 0.625
Sn 0.126 0.625 0.625

***

! PBE SrEuMgSn, optimized geometry; values from VASP
! total moment = 7.22 μB per formula unit
! DFT total energy = -4.82 eV per atom
! space-group type = No. 216
! calculated density = 4.93 g/cm³
! energy relative to the elements = -0.43 eV/atom
&SYSTEM
  ibrav = 0, nat = 4, ntyp = 4
/
ATOMIC_SPECIES
Eu 151.96 Eu.upf
Sr 87.62 Sr.upf
Mg 24.30 Mg.upf
Sn 118.71 Sn.upf
CELL_PARAMETERS angstrom
-0.010 0.942 -5.591
-4.253 -1.960 -3.198
-3.744 3.609 -2.261
ATOMIC_POSITIONS crystal
Eu 0.500 0.500 0.500
Sr 0.000 0.000 0.000
Mg 0.750 0.750 0.750
Sn 0.250 0.250 0.250

***

! PBE TbEuMgSn, optimized geometry; values from VASP
! total moment = 7.41 μB per formula unit
! DFT total energy = -5.53 eV per atom
! space-group type = No. 216
! calculated density = 6.69 g/cm³
! energy relative to the elements = -0.40 eV/atom
&SYSTEM
  ibrav = 0, nat = 4, ntyp = 4
/
ATOMIC_SPECIES
Eu 151.96 Eu.upf
Mg 24.30 Mg.upf
Tb 158.93 Tb.upf
Sn 118.71 Sn.upf
CELL_PARAMETERS angstrom
-4.501 2.835 -1.044
-3.891 0.388 3.755
-0.876 4.720 2.518
ATOMIC_POSITIONS crystal
Eu 0.000 0.000 0.000
Mg 0.250 0.250 0.250
Tb 0.500 0.500 0.500
Sn 0.750 0.750 0.750

***

! PBE EuThMgSn, optimized geometry; values from VASP
! total moment = 7.31 μB per formula unit
! DFT total energy = -6.06 eV per atom
! space-group type = No. 216
! calculated density = 7.54 g/cm³
! energy relative to the elements = -0.24 eV/atom
&SYSTEM
  ibrav = 0, nat = 4, ntyp = 4
/
ATOMIC_SPECIES
Eu 151.96 Eu.upf
Mg 24.30 Mg.upf
Sn 118.71 Sn.upf
Th 232.04 Th.upf
CELL_PARAMETERS angstrom
-0.320 5.418 0.724
-2.970 3.052 -3.443
-4.689 2.264 1.696
ATOMIC_POSITIONS crystal
Eu 0.500 0.500 0.500
Mg 0.750 0.750 0.750
Sn 0.250 0.250 0.250
Th 0.000 0.000 0.000

***

! PBE EuMgTlSn, optimized geometry; values from VASP
! total moment = 6.96 μB per formula unit
! DFT total energy = -4.90 eV per atom
! space-group type = No. 216
! calculated density = 7.56 g/cm³
! energy relative to the elements = -0.34 eV/atom
&SYSTEM
  ibrav = 0, nat = 4, ntyp = 4
/
ATOMIC_SPECIES
Eu 151.96 Eu.upf
Tl 204.38 Tl.upf
Mg 24.30 Mg.upf
Sn 118.71 Sn.upf
CELL_PARAMETERS angstrom
-4.099 -0.537 3.434
-0.100 -4.127 3.440
0.763 0.858 5.250
ATOMIC_POSITIONS crystal
Eu 0.000 0.000 0.000
Tl 0.750 0.750 0.750
Mg 0.500 0.500 0.500
Sn 0.250 0.250 0.250

***

> Number 3 is which compound?

EuMgSn

***

> Number 7 is which compound?

EuMg4Sn

***

> Which formula does entry 4 have?

EuMgSn